This record from OQMD describes a relaxed structure of PrNdGe2Os2. The functional is PBE-GGA.

Unit cell a=4.273 b=4.273 c=7.077 alpha=90.00 beta=90.00 gamma=90.00
Sites, in units of the cell vectors:
Pr1 0.000 0.000 0.000
Nd1 0.500 0.500 0.635
Ge1 0.000 0.000 0.515
Ge2 0.500 0.500 0.125
Os1 0.000 0.500 0.320
Os2 0.500 0.000 0.320

Output
magnetic moment	0.002	μB/cell
calculated total energy	-7.33	eV/atom
crystal system	tetragonal
space group	P4mm


This record from OQMD describes a relaxed structure of NdTmGe4Os2. The functional is PBE-GGA.

Unit cell a=4.475 b=4.429 c=8.331 alpha=90.00 beta=104.42 gamma=90.00
Sites, in units of the cell vectors:
Nd1 0.000 0.000 0.000
Tm1 0.770 0.500 0.581
Ge1 0.076 0.500 0.304
Ge2 0.350 0.000 0.708
Ge3 0.433 0.500 0.882
Ge4 0.721 0.000 0.293
Os1 0.291 0.000 0.415
Os2 0.507 0.500 0.181

Output
magnetic moment	0.004	μB/cell
calculated total energy	-6.73	eV/atom
crystal system	monoclinic
space group	Pm


This record from OQMD describes a relaxed structure of NdYGe2Os. The functional is PBE-GGA.

Unit cell a=5.886 b=5.886 c=10.342 alpha=116.16 beta=116.16 gamma=43.24
Sites, in units of the cell vectors:
Nd1 0.188 0.188 0.112
Nd2 0.812 0.812 0.888
Y1 0.001 0.001 0.672
Y2 0.999 0.999 0.328
Ge1 0.356 0.356 0.438
Ge2 0.495 0.495 0.131
Ge3 0.505 0.505 0.869
Ge4 0.644 0.644 0.562
Os1 0.270 0.270 0.627
Os2 0.730 0.730 0.373

Output
magnetic moment	0.005	μB/cell
calculated total energy	-7.01	eV/atom
crystal system	monoclinic
space group	C2/m


This record from OQMD describes a relaxed structure of NdYGe4Os2. The functional is PBE-GGA.

Unit cell a=4.497 b=4.425 c=8.374 alpha=90.00 beta=103.90 gamma=90.00
Sites, in units of the cell vectors:
Nd1 0.000 0.000 0.000
Y1 0.783 0.500 0.583
Ge1 0.075 0.500 0.299
Ge2 0.353 0.000 0.706
Ge3 0.437 0.500 0.883
Ge4 0.719 0.000 0.293
Os1 0.285 0.000 0.413
Os2 0.510 0.500 0.179

Output
magnetic moment	0.003	μB/cell
calculated total energy	-7.00	eV/atom
crystal system	monoclinic
space group	Pm


This record from OQMD describes a relaxed structure of NdGePPd2. The functional is PBE-GGA.

Unit cell a=5.901 b=5.901 c=5.901 alpha=137.84 beta=137.84 gamma=61.14
Sites, in units of the cell vectors:
Nd1 0.000 0.000 0.000
Ge1 0.382 0.382 0.000
P1 0.618 0.618 0.000
Pd1 0.244 0.744 0.500
Pd2 0.744 0.244 0.500

Output
magnetic moment	0.003	μB/cell
calculated total energy	-5.95	eV/atom
crystal system	tetragonal
space group	I4mm


This record from OQMD describes a relaxed structure of NdPaGe. The functional is PBE-GGA.

Unit cell a=4.827 b=4.827 c=4.827 alpha=60.00 beta=60.00 gamma=60.00
Sites, in units of the cell vectors:
Nd1 0.000 0.000 0.000
Pa1 0.750 0.750 0.750
Ge1 0.250 0.250 0.250

Output
magnetic moment	0.002	μB/cell
calculated total energy	-5.69	eV/atom
crystal system	cubic
space group	F-43m


This record from OQMD describes a relaxed structure of NdGePbS3. The functional is PBE-GGA.

Unit cell a=7.704 b=7.704 c=9.694 alpha=90.00 beta=90.00 gamma=148.66
Sites, in units of the cell vectors:
Nd1 0.000 0.000 0.000
Nd2 0.000 0.000 0.500
Ge1 0.446 0.554 0.750
Ge2 0.554 0.446 0.250
Pb1 0.266 0.734 0.250
Pb2 0.734 0.266 0.750
S1 0.113 0.887 0.750
S2 0.363 0.637 0.545
S3 0.363 0.637 0.955
S4 0.637 0.363 0.045
S5 0.637 0.363 0.455
S6 0.887 0.113 0.250

Output
magnetic moment	0.005	μB/cell
calculated total energy	-5.05	eV/atom
crystal system	orthorhombic
space group	Cmcm


This record from OQMD describes a relaxed structure of NdGePbSe3. The functional is PBE-GGA.

Unit cell a=7.807 b=7.807 c=10.250 alpha=90.00 beta=90.00 gamma=148.02
Sites, in units of the cell vectors:
Nd1 0.000 0.000 0.000
Nd2 0.000 0.000 0.500
Ge1 0.455 0.545 0.750
Ge2 0.545 0.455 0.250
Pb1 0.255 0.745 0.250
Pb2 0.745 0.255 0.750
Se1 0.113 0.887 0.750
Se2 0.359 0.641 0.545
Se3 0.359 0.641 0.955
Se4 0.641 0.359 0.045
Se5 0.641 0.359 0.455
Se6 0.887 0.113 0.250

Output
magnetic moment	0.009	μB/cell
calculated total energy	-4.69	eV/atom
crystal system	orthorhombic
space group	Cmcm


This record from OQMD describes a relaxed structure of NdGeTe3Pb. The functional is PBE-GGA.

Unit cell a=7.961 b=7.961 c=11.167 alpha=90.00 beta=90.00 gamma=147.70
Sites, in units of the cell vectors:
Nd1 0.000 0.000 0.000
Nd2 0.000 0.000 0.500
Ge1 0.473 0.527 0.750
Ge2 0.527 0.473 0.250
Te1 0.108 0.892 0.750
Te2 0.351 0.649 0.545
Te3 0.351 0.649 0.955
Te4 0.649 0.351 0.045
Te5 0.649 0.351 0.455
Te6 0.892 0.108 0.250
Pb1 0.226 0.774 0.250
Pb2 0.774 0.226 0.750

Output
magnetic moment	0.025	μB/cell
calculated total energy	-4.29	eV/atom
crystal system	orthorhombic
space group	Cmcm


This record from OQMD describes a relaxed structure of Nd3Ge4Pd2. The functional is PBE-GGA.

Unit cell a=5.908 b=5.908 c=8.525 alpha=106.12 beta=106.12 gamma=43.77
Sites, in units of the cell vectors:
Nd1 0.000 0.000 0.000
Nd2 0.370 0.370 0.305
Nd3 0.630 0.630 0.695
Ge1 0.083 0.083 0.405
Ge2 0.289 0.289 0.934
Ge3 0.711 0.711 0.066
Ge4 0.917 0.917 0.595
Pd1 0.319 0.319 0.648
Pd2 0.681 0.681 0.352

Output
magnetic moment	0.000	μB/cell
calculated total energy	-5.65	eV/atom
crystal system	monoclinic
space group	C2/m


This record from OQMD describes a relaxed structure of Nd2Ge5Pd3. The functional is PBE-GGA.

Unit cell a=8.545 b=8.545 c=8.545 alpha=106.05 beta=89.37 gamma=137.27
Sites, in units of the cell vectors:
Nd1 0.130 0.231 0.361
Nd2 0.370 0.731 0.102
Nd3 0.630 0.269 0.898
Nd4 0.870 0.769 0.639
Ge1 0.025 0.750 0.275
Ge2 0.106 0.656 0.762
Ge3 0.250 0.250 0.000
Ge4 0.394 0.156 0.549
Ge5 0.475 0.750 0.725
Ge6 0.525 0.250 0.275
Ge7 0.606 0.844 0.451
Ge8 0.750 0.750 0.000
Ge9 0.894 0.344 0.238
Ge10 0.975 0.250 0.725
Pd1 0.140 0.890 0.030
Pd2 0.250 0.750 0.500
Pd3 0.360 0.390 0.750
Pd4 0.640 0.610 0.250
Pd5 0.750 0.250 0.500
Pd6 0.860 0.110 0.970

Output
magnetic moment	0.007	μB/cell
calculated total energy	-5.57	eV/atom
crystal system	orthorhombic
space group	Ibam


This record from OQMD describes a relaxed structure of Nd6GePd2. The functional is PBE-GGA.

Unit cell a=7.935 b=7.935 c=4.637 alpha=90.00 beta=90.00 gamma=120.00
Sites, in units of the cell vectors:
Nd1 0.000 0.393 0.000
Nd2 0.000 0.730 0.500
Nd3 0.270 0.270 0.500
Nd4 0.393 0.000 0.000
Nd5 0.607 0.607 0.000
Nd6 0.730 0.000 0.500
Ge1 0.000 0.000 0.000
Pd1 0.333 0.667 0.500
Pd2 0.667 0.333 0.500

Output
magnetic moment	0.124	μB/cell
calculated total energy	-5.32	eV/atom
crystal system	hexagonal
space group	P-62m


This record from OQMD describes a relaxed structure of Nd6Ge2Pd. The functional is PBE-GGA.

Unit cell a=8.204 b=8.204 c=4.294 alpha=90.00 beta=90.00 gamma=120.00
Sites, in units of the cell vectors:
Nd1 0.000 0.415 0.000
Nd2 0.000 0.742 0.500
Nd3 0.258 0.258 0.500
Nd4 0.415 0.000 0.000
Nd5 0.585 0.585 0.000
Nd6 0.742 0.000 0.500
Ge1 0.333 0.667 0.500
Ge2 0.667 0.333 0.500
Pd1 0.000 0.000 0.000

Output
magnetic moment	0.045	μB/cell
calculated total energy	-5.34	eV/atom
crystal system	hexagonal
space group	P-62m


This record from OQMD describes a relaxed structure of Nd2Ge5Pd3. The functional is PBE-GGA.

Unit cell a=8.529 b=8.529 c=6.212 alpha=111.28 beta=111.28 gamma=91.02
Sites, in units of the cell vectors:
Nd1 0.099 0.363 0.231
Nd2 0.363 0.099 0.731
Nd3 0.637 0.901 0.269
Nd4 0.901 0.637 0.769
Ge1 0.002 0.998 0.750
Ge2 0.237 0.445 0.840
Ge3 0.277 0.723 0.750
Ge4 0.279 0.721 0.250
Ge5 0.445 0.237 0.340
Ge6 0.555 0.763 0.660
Ge7 0.721 0.279 0.750
Ge8 0.723 0.277 0.250
Ge9 0.763 0.555 0.160
Ge10 0.998 0.002 0.250
Pd1 0.035 0.752 0.390
Pd2 0.248 0.965 0.110
Pd3 0.500 0.500 0.250
Pd4 0.500 0.500 0.750
Pd5 0.752 0.035 0.890
Pd6 0.965 0.248 0.610

Output
magnetic moment	0.008	μB/cell
calculated total energy	-5.57	eV/atom
crystal system	monoclinic
space group	C2/c


This record from OQMD describes a relaxed structure of Pr2NdGe3PdPt2. The functional is PBE-GGA.

Unit cell a=4.041 b=7.423 c=7.423 alpha=119.97 beta=90.00 gamma=90.00
Sites, in units of the cell vectors:
Pr1 0.000 0.205 0.795
Pr2 0.000 0.795 0.205
Nd1 0.000 0.614 0.614
Ge1 0.500 0.206 0.453
Ge2 0.500 0.453 0.206
Ge3 0.500 0.957 0.957
Pd1 0.000 0.207 0.207
Pt1 0.500 0.539 0.870
Pt2 0.500 0.870 0.539

Output
magnetic moment	0.005	μB/cell
calculated total energy	-5.98	eV/atom
crystal system	orthorhombic
space group	Amm2


This record from OQMD describes a relaxed structure of PrNd2Si2Ge2Pd4. The functional is PBE-GGA.

Unit cell a=12.808 b=12.808 c=12.808 alpha=161.32 beta=160.49 gamma=27.14
Sites, in units of the cell vectors:
Pr1 0.000 0.000 0.000
Nd1 0.351 0.851 0.500
Nd2 0.649 0.149 0.500
Si1 0.198 0.698 0.500
Si2 0.802 0.302 0.500
Ge1 0.450 0.450 0.000
Ge2 0.550 0.550 0.000
Pd1 0.101 0.601 0.500
Pd2 0.249 0.249 0.000
Pd3 0.751 0.751 0.000
Pd4 0.899 0.399 0.500

Output
energy above the most stable polymorph in this dataset	0	meV per atom
magnetic moment	0.013	μB/cell
crystal system	orthorhombic
space group	Immm


This record from OQMD describes a relaxed structure of Pr2NdSi2Ge2Pd4. The functional is PBE-GGA.

Unit cell a=12.878 b=12.878 c=12.878 alpha=161.21 beta=160.71 gamma=27.06
Sites, in units of the cell vectors:
Pr1 0.146 0.146 0.000
Pr2 0.854 0.854 0.000
Nd1 0.500 0.000 0.500
Si1 0.048 0.548 0.500
Si2 0.952 0.452 0.500
Ge1 0.306 0.306 0.000
Ge2 0.694 0.694 0.000
Pd1 0.250 0.750 0.500
Pd2 0.407 0.407 0.000
Pd3 0.593 0.593 0.000
Pd4 0.750 0.250 0.500

Output
energy above the most stable polymorph in this dataset	36	meV per atom
magnetic moment	0.033	μB/cell
crystal system	orthorhombic
space group	Immm


This record from OQMD describes a relaxed structure of PrNd2Si2Ge2Pd4. The functional is PBE-GGA.

Unit cell a=12.840 b=12.840 c=12.840 alpha=161.15 beta=160.69 gamma=27.11
Sites, in units of the cell vectors:
Pr1 0.000 0.000 0.000
Nd1 0.354 0.854 0.500
Nd2 0.646 0.146 0.500
Si1 0.452 0.452 0.000
Si2 0.548 0.548 0.000
Ge1 0.194 0.694 0.500
Ge2 0.806 0.306 0.500
Pd1 0.094 0.594 0.500
Pd2 0.250 0.250 0.000
Pd3 0.750 0.750 0.000
Pd4 0.906 0.406 0.500

Output
energy above the most stable polymorph in this dataset	41	meV per atom
magnetic moment	0.007	μB/cell
crystal system	orthorhombic
space group	Immm


This record from OQMD describes a relaxed structure of Pr2NdSi2Ge2Pd4. The functional is PBE-GGA.

Unit cell a=12.869 b=12.869 c=12.869 alpha=161.45 beta=160.57 gamma=26.99
Sites, in units of the cell vectors:
Pr1 0.148 0.148 0.000
Pr2 0.852 0.852 0.000
Nd1 0.500 0.000 0.500
Si1 0.302 0.302 0.000
Si2 0.698 0.698 0.000
Ge1 0.050 0.550 0.500
Ge2 0.950 0.450 0.500
Pd1 0.251 0.751 0.500
Pd2 0.399 0.399 0.000
Pd3 0.601 0.601 0.000
Pd4 0.749 0.249 0.500

Output
energy above the most stable polymorph in this dataset	0	meV per atom
magnetic moment	0.013	μB/cell
crystal system	orthorhombic
space group	Immm


This record from OQMD describes a relaxed structure of Tb2NdGe3PdPt2. The functional is PBE-GGA.

Unit cell a=3.964 b=7.315 c=7.315 alpha=120.35 beta=90.00 gamma=90.00
Sites, in units of the cell vectors:
Tb1 0.000 0.204 0.796
Tb2 0.000 0.796 0.204
Nd1 0.000 0.612 0.612
Ge1 0.500 0.200 0.455
Ge2 0.500 0.455 0.200
Ge3 0.500 0.952 0.952
Pd1 0.000 0.197 0.197
Pt1 0.500 0.534 0.876
Pt2 0.500 0.876 0.534

Output
magnetic moment	0.002	μB/cell
calculated total energy	-6.01	eV/atom
crystal system	orthorhombic
space group	Amm2